# Th4Au

Th4Au after structural relaxation (PBE, Alexandria via LeMat-Bulk).

Properties
calculated formation energy = 0.355 eV/atom
excess energy over the best structure of this formula in the dataset = 0.449 eV per atom

Lattice parameters (Å, degrees): 5.6822 5.6822 5.6822 90.00 90.00 90.00
Last column: nearest neighbours and their distance in Å.
Atoms (fractional coordinates):
1 Th 0.0000 0.0000 0.0000  12 Th 4.02
2 Th 0.0000 0.5000 0.5000  2 Au 2.84
3 Th 0.5000 0.0000 0.5000  2 Au 2.84
4 Th 0.5000 0.5000 0.0000  2 Au 2.84
5 Au 0.5000 0.5000 0.5000  6 Th 2.84